[1]
Material: Pm3Ho4Rh4
Method: DFT, PBE
State: relaxed

Space group: Immm
Uncorrected energy in eV/f.u.: -68.69

Unit cell a=3.842 b=8.858 c=9.289 alpha=118.48 beta=101.93 gamma=90.00
Element x y z (fractional)
Pm (0.102, 0.102, 0.204)
Pm (0.898, 0.898, 0.796)
Pm (0.000, 0.500, 0.000)
Ho (0.333, 0.145, 0.666)
Ho (0.667, 0.478, 0.334)
Ho (0.667, 0.855, 0.334)
Ho (0.333, 0.522, 0.666)
Rh (0.245, 0.745, 0.490)
Rh (0.755, 0.255, 0.510)
Rh (0.500, 0.780, 0.000)
Rh (0.500, 0.220, 0.000)

---

[2]
Material: HoPuInPt
Method: DFT, PBE
State: relaxed

Space group: F-43m
Uncorrected energy in eV/f.u.: -29.71

Unit cell a=5.137 b=5.137 c=5.137 alpha=60.00 beta=60.00 gamma=60.00
Each line ends with the local moment (μB).
Element x y z (fractional)
In (0.250, 0.250, 0.250)  -0.03
Ho (0.500, 0.500, 0.500)  0.03
Pt (0.750, 0.750, 0.750)  -0.08
Pu (0.000, 0.000, 0.000)  5.26

---

[3]
Material: RbNaTl4
Method: DFT, PBE
State: relaxed

Energy above the lowest structure with this stoichiometry in eV per atom: 0.031
Space group: F-43m

Unit cell a=6.679 b=6.679 c=6.679 alpha=60.00 beta=60.00 gamma=60.00
Element x y z (fractional)
Na (0.000, 0.000, 0.000)
Tl (0.626, 0.626, 0.123)
Tl (0.626, 0.123, 0.626)
Tl (0.626, 0.626, 0.626)
Tl (0.123, 0.626, 0.626)
Rb (0.250, 0.250, 0.250)

---

[4]
Material: SmPbSe
Method: DFT, PBE
State: relaxed

Space group: R-3m
Formation energy (no corrections) in eV/f.u.: -2.996

Unit cell a=4.795 b=4.795 c=9.760 alpha=75.78 beta=75.78 gamma=60.00
Element x y z (fractional)
Sm (0.600, 0.600, 0.201)
Sm (0.400, 0.400, 0.799)
Se (0.295, 0.295, 0.116)
Se (0.705, 0.705, 0.884)
Pb (0.859, 0.859, 0.423)
Pb (0.141, 0.141, 0.577)

---

[5]
Material: HIrSe3
Method: DFT, PBE
State: relaxed

Energy above the lowest structure with this stoichiometry in eV per atom: 0.000
Space group: P1

Unit cell a=4.877 b=6.497 c=7.145 alpha=71.83 beta=84.24 gamma=69.96
Element x y z (fractional)
H (0.451, 0.551, 0.383)
H (0.696, 0.624, 0.078)
Ir (0.889, 0.785, 0.122)
Ir (0.618, 0.430, 0.991)
Se (0.928, 0.508, 0.699)
Se (0.301, 0.432, 0.291)
Se (0.483, 0.115, 0.932)
Se (0.171, 0.740, 0.823)
Se (0.049, 0.094, 0.161)
Se (0.622, 0.809, 0.438)

---

[6]
Material: Ac3Tl4Cd2
Method: DFT, PBE
State: relaxed

Space group: C2/m
Uncorrected energy in eV/f.u.: -26.65

Unit cell a=5.140 b=6.656 c=9.816 alpha=70.65 beta=74.82 gamma=67.28
Element x y z (fractional)
Ac (0.332, 0.668, 0.669)
Ac (0.000, 0.000, 0.000)
Ac (0.668, 0.332, 0.331)
Tl (0.313, 0.352, 0.022)
Tl (0.687, 0.648, 0.978)
Tl (0.086, 0.247, 0.580)
Tl (0.914, 0.753, 0.420)
Cd (0.394, 0.937, 0.274)
Cd (0.606, 0.063, 0.726)

---

[7]
Material: SbC5
Method: DFT, PBE
State: relaxed

Energy above the lowest structure with this stoichiometry in eV per atom: 0.790
Space group: Amm2
Formation energy (no corrections) in eV/f.u.: 11.423

Unit cell a=7.499 b=7.499 c=3.449 alpha=90.00 beta=90.00 gamma=158.79
Element x y z (fractional)
Sb (0.156, 0.844, 0.500)
C (0.824, 0.176, 0.000)
C (0.384, 0.616, 0.000)
C (0.721, 0.279, 0.000)
C (0.396, 0.604, 0.500)
C (0.852, 0.148, 0.500)

---

[8]
Material: PmY2UAs4
Method: DFT, PBE
State: relaxed

Space group: P2/m
Uncorrected energy in eV/f.u.: -58.25

Unit cell a=4.128 b=7.173 c=7.170 alpha=109.19 beta=90.00 gamma=90.00
Each line ends with the local moment (μB).
Element x y z (fractional)
Pm (0.500, 0.500, 0.000)  0.03
Y (0.500, 0.000, 0.500)  0.01
Y (0.000, 0.500, 0.500)  0.03
U (0.000, 0.000, 0.000)  2.19
As (0.500, 0.245, 0.250)  -0.04
As (0.500, 0.755, 0.750)  -0.04
As (0.000, 0.242, 0.749)  -0.03
As (0.000, 0.758, 0.251)  -0.03

---

| no. | mass density (Mg/m³) |
| --- | --- |
| 1 | 9.26 |
| 2 | 12.45 |
| 3 | 7.30 |
| 4 | 7.78 |
| 5 | 7.07 |
| 6 | 9.91 |
| 7 | 4.30 |
| 8 | 7.13 |